Compound: LiEr2UO6
Source: Alexandria via LeMat-Bulk
Functional: PBE
Structure: relaxed

Values from the calculation:
The value obtained for the calculated density is 7.87 g/cm3. As for the formation energy (no corrections): -309 kJ/mol of atoms. The total energy is -252.31 eV per cell. The total magnetization is 1.00 μB/f.u.

The structure in CIF format:
```
data_LiEr2UO6
_cell_length_a 5.7266
_cell_length_b 5.7266
_cell_length_c 15.0551
_cell_angle_alpha 90.00
_cell_angle_beta 90.00
_cell_angle_gamma 120.00
_space_group_name_H-M_alt 'R 3'
_space_group_IT_number 146
_space_group_name_Hall 'R 3'
loop_
_atom_site_label
_atom_site_type_symbol
_atom_site_fract_x
_atom_site_fract_y
_atom_site_fract_z
Li1 Li 0.0000 0.0000 0.0000
Er1 Er 0.0000 0.0000 0.2697
Er2 Er 0.0000 0.0000 0.7764
U1 U 0.0000 0.0000 0.4797
O1 O 0.0056 0.7189 0.3841
O2 O 0.0281 0.3522 0.5421
```